Below is NaCd2InAg after structural relaxation, with properties calculated at the PBE-GGA level.

CIF file:
```
data_NaCd2InAg
_chemical_formula_sum 'Na1 Cd2 In1 Ag1'
_symmetry_space_group_name_H-M 'P 1'
_symmetry_Int_Tables_number 1
_symmetry_space_group_name_Hall 'P 1'
_cell_length_a 5.330
_cell_length_b 5.330
_cell_length_c 5.319
_cell_angle_alpha 90.00
_cell_angle_beta 90.00
_cell_angle_gamma 90.00
loop_
_atom_site_label
_atom_site_fract_x
_atom_site_fract_y
_atom_site_fract_z
Na1 0.000 0.000 0.000
Cd1 0.000 0.500 0.500
Cd2 0.500 0.000 0.500
In1 0.500 0.500 0.000
Ag1 0.500 0.500 0.500
```

Below is Na2Cd6InAg after structural relaxation, with properties calculated at the PBE-GGA level.

CIF file:
```
data_Na2Cd6InAg
_chemical_formula_sum 'Na4 Cd12 In2 Ag2'
_symmetry_space_group_name_H-M 'P 1'
_symmetry_Int_Tables_number 1
_symmetry_space_group_name_Hall 'P 1'
_cell_length_a 12.677
_cell_length_b 12.677
_cell_length_c 12.677
_cell_angle_alpha 34.20
_cell_angle_beta 34.20
_cell_angle_gamma 34.20
loop_
_atom_site_label
_atom_site_fract_x
_atom_site_fract_y
_atom_site_fract_z
Na1 0.098 0.098 0.098
Na2 0.275 0.275 0.275
Na3 0.725 0.725 0.725
Na4 0.902 0.902 0.902
Cd1 0.067 0.676 0.676
Cd2 0.223 0.223 0.626
Cd3 0.223 0.626 0.223
Cd4 0.324 0.324 0.933
Cd5 0.324 0.933 0.324
Cd6 0.374 0.777 0.777
Cd7 0.626 0.223 0.223
Cd8 0.676 0.067 0.676
Cd9 0.676 0.676 0.067
Cd10 0.777 0.374 0.777
Cd11 0.777 0.777 0.374
Cd12 0.933 0.324 0.324
In1 0.424 0.424 0.424
In2 0.576 0.576 0.576
Ag1 0.000 0.000 0.000
Ag2 0.500 0.500 0.500
```

Below is Na3Cd2In6Ag after structural relaxation, with properties calculated at the PBE-GGA level.

CIF file:
```
data_Na3Cd2In6Ag
_chemical_formula_sum 'Na3 Cd2 In6 Ag1'
_symmetry_space_group_name_H-M 'P 1'
_symmetry_Int_Tables_number 1
_symmetry_space_group_name_Hall 'P 1'
_cell_length_a 6.228
_cell_length_b 6.228
_cell_length_c 9.515
_cell_angle_alpha 90.00
_cell_angle_beta 90.00
_cell_angle_gamma 120.00
loop_
_atom_site_label
_atom_site_fract_x
_atom_site_fract_y
_atom_site_fract_z
Na1 0.000 0.000 0.000
Na2 0.333 0.667 0.574
Na3 0.667 0.333 0.426
Cd1 0.333 0.667 0.936
Cd2 0.667 0.333 0.064
In1 0.171 0.343 0.257
In2 0.171 0.829 0.257
In3 0.343 0.171 0.743
In4 0.657 0.829 0.257
In5 0.829 0.171 0.743
In6 0.829 0.657 0.743
Ag1 0.000 0.000 0.500
```

Below is Nd4Cd2InAg after structural relaxation, with properties calculated at the PBE-GGA level.

CIF file:
```
data_Nd4Cd2InAg
_chemical_formula_sum 'Nd4 Cd2 In1 Ag1'
_symmetry_space_group_name_H-M 'P 1'
_symmetry_Int_Tables_number 1
_symmetry_space_group_name_Hall 'P 1'
_cell_length_a 9.410
_cell_length_b 9.410
_cell_length_c 9.410
_cell_angle_alpha 33.48
_cell_angle_beta 33.48
_cell_angle_gamma 33.48
loop_
_atom_site_label
_atom_site_fract_x
_atom_site_fract_y
_atom_site_fract_z
Nd1 0.122 0.122 0.122
Nd2 0.373 0.373 0.373
Nd3 0.627 0.627 0.627
Nd4 0.878 0.878 0.878
Cd1 0.248 0.248 0.248
Cd2 0.752 0.752 0.752
In1 0.500 0.500 0.500
Ag1 0.000 0.000 0.000
```

Below is NdCdInAg after structural relaxation, with properties calculated at the PBE-GGA level.

CIF file:
```
data_NdCdInAg
_chemical_formula_sum 'Nd1 Cd1 In1 Ag1'
_symmetry_space_group_name_H-M 'P 1'
_symmetry_Int_Tables_number 1
_symmetry_space_group_name_Hall 'P 1'
_cell_length_a 5.118
_cell_length_b 5.118
_cell_length_c 5.118
_cell_angle_alpha 60.00
_cell_angle_beta 60.00
_cell_angle_gamma 60.00
loop_
_atom_site_label
_atom_site_fract_x
_atom_site_fract_y
_atom_site_fract_z
Nd1 0.000 0.000 0.000
Cd1 0.250 0.250 0.250
In1 0.500 0.500 0.500
Ag1 0.750 0.750 0.750
```

Below is Nd4CdInAg2 after structural relaxation, with properties calculated at the PBE-GGA level.

CIF file:
```
data_Nd4CdInAg2
_chemical_formula_sum 'Nd4 Cd1 In1 Ag2'
_symmetry_space_group_name_H-M 'P 1'
_symmetry_Int_Tables_number 1
_symmetry_space_group_name_Hall 'P 1'
_cell_length_a 9.366
_cell_length_b 9.366
_cell_length_c 9.366
_cell_angle_alpha 33.48
_cell_angle_beta 33.48
_cell_angle_gamma 33.48
loop_
_atom_site_label
_atom_site_fract_x
_atom_site_fract_y
_atom_site_fract_z
Nd1 0.124 0.124 0.124
Nd2 0.374 0.374 0.374
Nd3 0.626 0.626 0.626
Nd4 0.876 0.876 0.876
Cd1 0.000 0.000 0.000
In1 0.500 0.500 0.500
Ag1 0.250 0.250 0.250
Ag2 0.750 0.750 0.750
```

Below is Cd6InAgPb after structural relaxation, with properties calculated at the PBE-GGA level.

CIF file:
```
data_Cd6InAgPb
_chemical_formula_sum 'Cd12 In2 Ag2 Pb2'
_symmetry_space_group_name_H-M 'P 1'
_symmetry_Int_Tables_number 1
_symmetry_space_group_name_Hall 'P 1'
_cell_length_a 8.721
_cell_length_b 8.721
_cell_length_c 8.721
_cell_angle_alpha 127.69
_cell_angle_beta 108.41
_cell_angle_gamma 94.17
loop_
_atom_site_label
_atom_site_fract_x
_atom_site_fract_y
_atom_site_fract_z
Cd1 0.107 0.320 0.171
Cd2 0.107 0.936 0.787
Cd3 0.275 0.025 0.250
Cd4 0.312 0.562 0.750
Cd5 0.351 0.064 0.671
Cd6 0.351 0.680 0.287
Cd7 0.649 0.320 0.713
Cd8 0.649 0.936 0.329
Cd9 0.688 0.438 0.250
Cd10 0.725 0.975 0.750
Cd11 0.893 0.064 0.213
Cd12 0.893 0.680 0.829
In1 0.500 0.000 0.000
In2 0.500 0.500 0.500
Ag1 0.000 0.500 0.500
Ag2 0.500 0.500 0.000
Pb1 0.033 0.283 0.750
Pb2 0.967 0.717 0.250
```

Below is CdInAgPd after structural relaxation, with properties calculated at the PBE-GGA level.

CIF file:
```
data_CdInAgPd
_chemical_formula_sum 'Cd1 In1 Ag1 Pd1'
_symmetry_space_group_name_H-M 'P 1'
_symmetry_Int_Tables_number 1
_symmetry_space_group_name_Hall 'P 1'
_cell_length_a 4.726
_cell_length_b 4.726
_cell_length_c 4.726
_cell_angle_alpha 60.00
_cell_angle_beta 60.00
_cell_angle_gamma 60.00
loop_
_atom_site_label
_atom_site_fract_x
_atom_site_fract_y
_atom_site_fract_z
Cd1 0.000 0.000 0.000
In1 0.500 0.500 0.500
Ag1 0.250 0.250 0.250
Pd1 0.750 0.750 0.750
```

Below is Cd3In3AgPd2 after structural relaxation, with properties calculated at the PBE-GGA level.

CIF file:
```
data_Cd3In3AgPd2
_chemical_formula_sum 'Cd3 In3 Ag1 Pd2'
_symmetry_space_group_name_H-M 'P 1'
_symmetry_Int_Tables_number 1
_symmetry_space_group_name_Hall 'P 1'
_cell_length_a 7.855
_cell_length_b 7.855
_cell_length_c 3.459
_cell_angle_alpha 90.00
_cell_angle_beta 90.00
_cell_angle_gamma 120.00
loop_
_atom_site_label
_atom_site_fract_x
_atom_site_fract_y
_atom_site_fract_z
Cd1 0.000 0.286 0.000
Cd2 0.286 0.000 0.000
Cd3 0.714 0.714 0.000
In1 0.000 0.611 0.500
In2 0.389 0.389 0.500
In3 0.611 0.000 0.500
Ag1 0.000 0.000 0.500
Pd1 0.333 0.667 0.000
Pd2 0.667 0.333 0.000
```

Below is PmCdInAg after structural relaxation, with properties calculated at the PBE-GGA level.

CIF file:
```
data_PmCdInAg
_chemical_formula_sum 'Pm1 Cd1 In1 Ag1'
_symmetry_space_group_name_H-M 'P 1'
_symmetry_Int_Tables_number 1
_symmetry_space_group_name_Hall 'P 1'
_cell_length_a 5.093
_cell_length_b 5.093
_cell_length_c 5.093
_cell_angle_alpha 60.00
_cell_angle_beta 60.00
_cell_angle_gamma 60.00
loop_
_atom_site_label
_atom_site_fract_x
_atom_site_fract_y
_atom_site_fract_z
Pm1 0.000 0.000 0.000
Cd1 0.750 0.750 0.750
In1 0.500 0.500 0.500
Ag1 0.250 0.250 0.250
```

Number 1: density of states at the Fermi level 2.34 states/eV/cell, E_form 125 meV per atom. Number 2: density of states at the Fermi level 9.76 states/eV/cell, E_form 39 meV per atom. Number 3: density of states at the Fermi level 4.61 states/eV/cell, E_form -8 meV per atom. Number 4: density of states at the Fermi level 9.40 states/eV/cell, E_form -340 meV per atom. Number 5: density of states at the Fermi level 2.25 states/eV/cell, E_form -329 meV per atom. Number 6: density of states at the Fermi level 8.51 states/eV/cell, E_form -318 meV per atom. Number 7: density of states at the Fermi level 6.42 states/eV/cell, E_form 90 meV per atom. Number 8: density of states at the Fermi level 1.85 states/eV/cell, E_form -239 meV per atom. Number 9: density of states at the Fermi level 2.84 states/eV/cell, E_form -175 meV per atom. Number 10: density of states at the Fermi level 2.17 states/eV/cell, E_form -328 meV per atom.